# 1
A plane-wave DFT calculation with PBE was carried out for a relaxed structure of Ce2SmP3Ir4.

- Energy relative to the elements: -914 meV/atom
- Uncorrected energy: -7.740 eV/atom
- Symmetry: No. 115
- Fermi-level density of states: 0.9159 states/eV per atom
- Spin magnetization: 0.000 μB per atom

abc: 4.0060 4.0060 11.5956
angles: 90.00 90.00 90.00
Last column: nearest neighbours and their distance in Å.
Fractional coordinates of all 10 atoms:
P (0.0000, 0.5000, 0.1171)  5 Ir 2.29-2.42
Ir (0.0000, 0.0000, 0.0000)  4 P 2.42
Ce (0.5000, 0.0000, 0.2275)  8 Ir 3.01-3.31, 4 P 3.11
Ce (0.0000, 0.5000, 0.7725)  8 Ir 3.01-3.31, 4 P 3.11
Ir (0.0000, 0.5000, 0.3148)  1 P 2.29
Ir (0.5000, 0.0000, 0.6852)  1 P 2.29
P (0.5000, 0.0000, 0.8829)  5 Ir 2.29-2.42
P (0.0000, 0.0000, 0.5000)  4 Sm 2.83, 4 Ir 2.94
Ir (0.5000, 0.5000, 0.0000)  4 P 2.42
Sm (0.5000, 0.5000, 0.5000)  4 P 2.83, 4 Ir 2.94

=====

# 2
A plane-wave DFT calculation with PBE was carried out for a relaxed structure of Y3Tm5Bi2.

- Energy relative to the elements: -41 meV/atom
- Uncorrected energy: -4.992 eV/atom
- Symmetry: No. 72
- Fermi-level density of states: 1.3545 states/eV per atom
- Spin magnetization: 0.000 μB per atom

abc: 6.3675 10.5696 10.5696
angles: 94.93 72.47 72.47
Last column: nearest neighbours and their distance in Å.
Fractional coordinates of all 20 atoms:
Y (0.7500, 0.0000, 0.0000)  2 Y 3.18, 2 Tm 3.31, 4 Bi 3.40
Y (0.1304, 0.0751, 0.6641)  4 Bi 3.31-3.67, 2 Tm 3.43-3.68
Y (0.6304, 0.6641, 0.0751)  4 Bi 3.31-3.67, 2 Tm 3.43-3.68
Bi (0.8516, 0.2977, 0.9992)  3 Tm 3.01-3.15, 2 Y 3.31
Tm (0.5863, 0.2490, 0.5784)  1 Bi 3.01, 2 Tm 3.21
Bi (0.6484, 0.0008, 0.7023)  3 Tm 3.01-3.15, 2 Y 3.31
Tm (0.5085, 0.7415, 0.7415)  3 Tm 3.09-3.18, 2 Bi 3.15, 1 Y 3.31
Y (0.2500, 0.0000, 0.0000)  2 Y 3.18, 2 Tm 3.31, 4 Bi 3.40
Tm (0.0863, 0.5784, 0.2490)  1 Bi 3.01, 2 Tm 3.21
Y (0.3696, 0.3359, 0.9249)  4 Bi 3.31-3.67, 2 Tm 3.43-3.68
Bi (0.1484, 0.7023, 0.0008)  3 Tm 3.01-3.15, 2 Y 3.31
Tm (0.9137, 0.4216, 0.7510)  1 Bi 3.01, 2 Tm 3.21
Tm (0.7500, 0.5000, 0.5000)  8 Tm 3.09-3.21
Y (0.8696, 0.9249, 0.3359)  4 Bi 3.31-3.67, 2 Tm 3.43-3.68
Tm (0.4137, 0.7510, 0.4216)  1 Bi 3.01, 2 Tm 3.21
Tm (0.2500, 0.5000, 0.5000)  8 Tm 3.09-3.21
Tm (0.9915, 0.2585, 0.2585)  3 Tm 3.09-3.18, 2 Bi 3.15, 1 Y 3.31
Tm (0.4915, 0.2585, 0.2585)  3 Tm 3.09-3.18, 2 Bi 3.15, 1 Y 3.31
Tm (0.0085, 0.7415, 0.7415)  3 Tm 3.09-3.18, 2 Bi 3.15, 1 Y 3.31
Bi (0.3516, 0.9992, 0.2977)  3 Tm 3.01-3.15, 2 Y 3.31

=====

# 3
A plane-wave DFT calculation with PBE was carried out for a relaxed structure of CaNd2Ag.

- Energy relative to the elements: 146 meV/atom
- Uncorrected energy: -3.451 eV/atom
- ΔE to the lowest computed polymorph: 232 meV/atom
- Symmetry: No. 166
- Fermi-level density of states: 1.1508 states/eV per atom
- Spin magnetization: 0.000 μB per atom

abc: 3.5542 3.5542 12.1864
angles: 81.61 81.61 60.00
Last column: nearest neighbours and their distance in Å.
Fractional coordinates of all 4 atoms:
Ca (0.0000, 0.0000, 0.0000)  2 Nd 3.54, 6 Ca 3.55
Nd (0.9018, 0.9018, 0.2947)  3 Ag 3.21, 1 Ca 3.54, 6 Nd 3.55
Ag (0.5000, 0.5000, 0.5000)  6 Nd 3.21, 6 Ag 3.55
Nd (0.0982, 0.0982, 0.7053)  3 Ag 3.21, 1 Ca 3.54, 6 Nd 3.55